Material: SrPmEuMg
Method: DFT, PBE-GGA
State: optimized geometry

a = 5.905 Å, b = 5.905 Å, c = 5.905 Å
α = 60.00°, β = 60.00°, γ = 60.00°
Site moments in Bohr magnetons follow the coordinates.
Sites, in units of the cell vectors:
1 Mg 0.000 0.000 0.000  -0.01
2 Sr 0.250 0.250 0.250  0.03
3 Eu 0.500 0.500 0.500  6.94
4 Pm 0.750 0.750 0.750  0.13

Summary:
N(E_F)	3.69	states/eV per cell
symmetry	F-43m (216)
energy relative to the elements	39	kJ/mol of formula units